Below is a relaxed structure of SrZn2CdAg, with properties calculated at the PBE level.

Unit cell a=4.3872 b=4.4075 c=12.0023 alpha=90.00 beta=90.00 gamma=90.00
Space group Imm2 (No. 44)
Inequivalent atoms, fractional coordinates:
Sr 0.0000 0.0000 0.0000
Zn 0.0000 0.0000 0.6115
Zn 0.0000 0.5000 0.2464
Cd 0.0000 0.5000 0.7450
Ag 0.0000 0.0000 0.3923

Formation energy: -0.21 eV per atom
Total magnetization: 0.0000 μB/atom
Calculated volume: 23.21 A^3/atom
DOS(E_F): 0.50 states/eV/atom